A relaxed TaNi2Os crystal, computed with PBE-GGA.

a b c (Å): 2.7238 2.7238 25.8689
angles (deg): 90.00 90.00 120.00
Space group R3m (No. 160, hexagonal axes)
Unique sites:
Ta 0.0000 0.0000 0.0000 x3
Ni 0.0000 0.0000 0.2492 x3
Ni 0.0000 0.0000 0.5059 x3
Os 0.0000 0.0000 0.7604 x3

**M_tot**: 0.00 Bohr magnetons per cell
**Polymorph energy (0 for the lowest one)**: 1.59 eV/f.u.